(1)
Here is a crystal of Zn2CdRu relaxed with PBEsol from Alexandria. Energies are from meta-GGA SCAN.

Geometry as POSCAR:
```
Zn2CdRu
1.0
2.782 0.000 -0.008
0.000 4.149 0.000
-1.382 0.000 5.141
Cd Ru Zn
1 1 2
Direct
0.554 0.000 0.482
0.207 0.500 0.790
0.801 0.000 0.978
0.938 0.500 0.250
```

density of states at the Fermi level = 0.416 states/eV per atom
crystal system = orthorhombic
ΔH_f (0 K) = 0.09 eV per atom

---

(2)
Here is a crystal of Zn2CdRu relaxed with PBEsol from Alexandria. Energies are from meta-GGA SCAN.

Geometry as POSCAR:
```
Zn2CdRu
1.0
-0.070 1.911 -2.023
-3.739 -0.833 -0.658
-1.512 3.862 3.699
Cd Ru Zn
1 1 2
Direct
0.000 0.000 0.501
0.500 0.500 0.776
0.000 0.000 0.984
0.500 0.500 0.239
```

density of states at the Fermi level = 0.448 states/eV per atom
crystal system = orthorhombic
ΔH_f (0 K) = 0.15 eV per atom

---

(3)
Here is a crystal of CdSb2S relaxed with PBEsol from Alexandria. Energies are from meta-GGA SCAN.

Geometry as POSCAR:
```
CdSb2S
1.0
-3.827 1.591 0.283
-0.678 -0.921 -3.994
-1.689 -10.348 4.833
Sb S Cd
4 2 2
Direct
0.377 0.875 0.250
0.873 0.375 0.250
0.125 0.127 0.750
0.625 0.623 0.750
0.750 0.250 0.500
0.500 0.500 0.000
0.250 0.750 0.500
0.000 0.000 0.000
```

formation energy from raw total energies = 109.9 meV/atom
density of states at the Fermi level = 0.514 states/eV per atom
crystal system = tetragonal

---

(4)
Here is a crystal of CdSbS2 relaxed with PBEsol from Alexandria. Energies are from meta-GGA SCAN.

Geometry as POSCAR:
```
CdSbS2
1.0
-0.285 -3.796 0.039
0.054 -1.879 3.310
-8.329 -1.266 1.607
Sb S Cd
1 2 1
Direct
0.500 0.500 0.500
0.898 0.898 0.306
0.102 0.102 0.694
0.000 0.000 0.000
```

formation energy from raw total energies = -23.0 meV/atom
density of states at the Fermi level = 0.537 states/eV per atom
crystal system = trigonal

---

(5)
Here is a crystal of ScCdS2 relaxed with PBEsol from Alexandria. Energies are from meta-GGA SCAN.

Geometry as POSCAR:
```
ScCdS2
1.0
-2.003 1.903 -5.266
-5.495 0.405 2.237
4.757 4.120 3.037
Sc S Cd
2 4 2
Direct
0.750 0.250 0.500
0.500 0.500 0.000
0.391 0.875 0.250
0.859 0.375 0.250
0.125 0.141 0.750
0.625 0.609 0.750
0.250 0.750 0.500
0.000 0.000 0.000
```

formation energy from raw total energies = -1138.3 meV/atom
density of states at the Fermi level = 0.821 states/eV per atom
crystal system = tetragonal

---

(6)
Here is a crystal of CdSe2S2 relaxed with PBEsol from Alexandria. Energies are from meta-GGA SCAN.

Geometry as POSCAR:
```
CdSe2S2
1.0
4.134 0.000 0.000
0.000 7.504 0.000
0.000 0.000 7.504
S Se Cd
4 4 2
Direct
0.500 0.209 0.709
0.500 0.709 0.791
0.500 0.791 0.291
0.500 0.291 0.209
0.000 0.317 0.817
0.000 0.817 0.683
0.000 0.683 0.183
0.000 0.183 0.317
0.000 0.000 0.000
0.000 0.500 0.500
```

formation energy from raw total energies = 181.3 meV/atom
density of states at the Fermi level = 0.539 states/eV per atom
crystal system = tetragonal

---

(7)
Here is a crystal of CdSeS2 relaxed with PBEsol from Alexandria. Energies are from meta-GGA SCAN.

Geometry as POSCAR:
```
CdSeS2
1.0
5.129 0.000 0.000
0.000 5.129 0.000
-2.564 -2.564 7.185
S Se Cd
4 2 2
Direct
0.853 0.375 0.250
0.397 0.875 0.250
0.625 0.603 0.750
0.125 0.147 0.750
0.750 0.250 0.500
0.500 0.500 0.000
0.250 0.750 0.500
0.000 0.000 0.000
```

formation energy from raw total energies = 64.7 meV/atom
density of states at the Fermi level = 0.096 states/eV per atom
crystal system = tetragonal

---

(8)
Here is a crystal of CdSe3S relaxed with PBEsol from Alexandria. Energies are from meta-GGA SCAN.

Geometry as POSCAR:
```
CdSe3S
1.0
4.816 0.000 0.000
0.000 4.816 0.000
0.000 0.000 4.816
S Se Cd
1 3 1
Direct
0.000 0.000 0.000
0.000 0.500 0.000
0.000 0.000 0.500
0.500 0.000 0.000
0.500 0.500 0.500
```

formation energy from raw total energies = 407.2 meV/atom
density of states at the Fermi level = 0.603 states/eV per atom
crystal system = cubic

---

(9)
Here is a crystal of Sm2CdS4 relaxed with PBEsol from Alexandria. Energies are from meta-GGA SCAN.

Geometry as POSCAR:
```
Sm2CdS4
1.0
7.240 -0.005 0.008
-2.553 6.775 -0.008
2.553 3.240 5.950
Sm Cd S
4 2 8
Direct
0.116 0.991 0.625
0.384 0.125 0.991
0.884 0.259 0.125
0.616 0.625 0.259
0.000 0.500 0.500
0.500 0.750 0.750
0.882 0.881 0.380
0.239 0.369 0.249
0.739 0.001 0.881
0.618 0.249 0.512
0.761 0.512 0.870
0.261 0.380 0.738
0.118 0.738 0.001
0.382 0.870 0.369
```

formation energy from raw total energies = -1822.0 meV/atom
density of states at the Fermi level = 0.000 states/eV per atom
crystal system = tetragonal

---

(10)
Here is a crystal of TlCdSn2S relaxed with PBEsol from Alexandria. Energies are from meta-GGA SCAN.

Geometry as POSCAR:
```
TlCdSn2S
1.0
5.222 0.000 0.000
0.000 5.222 0.000
0.000 0.000 5.675
S Tl Sn Cd
1 1 2 1
Direct
0.000 0.000 0.000
0.000 0.000 0.500
0.000 0.500 0.000
0.500 0.000 0.000
0.500 0.500 0.500
```

formation energy from raw total energies = 372.8 meV/atom
density of states at the Fermi level = 0.595 states/eV per atom
crystal system = tetragonal

---

(11)
Here is a crystal of TaCdS3 relaxed with PBEsol from Alexandria. Energies are from meta-GGA SCAN.

Geometry as POSCAR:
```
TaCdS3
1.0
-1.211 4.587 -0.222
-3.935 -0.919 2.494
2.366 0.820 4.035
S Cd Ta
3 1 1
Direct
0.000 0.500 0.000
0.000 0.000 0.500
0.500 0.000 0.000
0.000 0.000 0.000
0.500 0.500 0.500
```

formation energy from raw total energies = 1104.4 meV/atom
density of states at the Fermi level = 0.559 states/eV per atom
crystal system = cubic

---

(12)
Here is a crystal of TaCd2TeS relaxed with PBEsol from Alexandria. Energies are from meta-GGA SCAN.

Geometry as POSCAR:
```
TaCd2TeS
1.0
4.848 0.000 0.000
0.000 4.848 0.000
0.000 0.000 5.284
Cd S Te Ta
2 1 1 1
Direct
0.000 0.500 0.000
0.500 0.000 0.000
0.000 0.000 0.000
0.000 0.000 0.500
0.500 0.500 0.500
```

formation energy from raw total energies = 1099.2 meV/atom
density of states at the Fermi level = 0.826 states/eV per atom
crystal system = tetragonal

---

(13)
Here is a crystal of Cd2TeS relaxed with PBEsol from Alexandria. Energies are from meta-GGA SCAN.

Geometry as POSCAR:
```
Cd2TeS
1.0
-1.595 -2.913 2.802
3.722 2.058 0.890
-3.649 5.173 3.302
S Te Cd
1 1 2
Direct
0.333 0.667 0.880
0.000 0.000 0.369
0.333 0.667 0.528
0.000 0.000 0.975
```

formation energy from raw total energies = -571.4 meV/atom
density of states at the Fermi level = 0.001 states/eV per atom
crystal system = trigonal

---

(14)
Here is a crystal of Cd2TeS relaxed with PBEsol from Alexandria. Energies are from meta-GGA SCAN.

Geometry as POSCAR:
```
Cd2TeS
1.0
6.160 0.000 0.000
0.000 6.160 0.000
-3.080 -3.080 6.122
S Te Cd
2 2 4
Direct
0.750 0.250 0.500
0.500 0.500 0.000
0.250 0.750 0.500
0.000 0.000 0.000
0.411 0.875 0.250
0.839 0.375 0.250
0.125 0.161 0.750
0.625 0.589 0.750
```

formation energy from raw total energies = -603.1 meV/atom
crystal system = tetragonal

---

(15)
Here is a crystal of Cd5TeS4 relaxed with PBEsol from Alexandria. Energies are from meta-GGA SCAN.

Geometry as POSCAR:
```
Cd5TeS4
1.0
-0.614 -3.485 -2.310
-0.136 -2.317 3.531
-14.251 4.959 0.175
Cd Te S
5 1 4
Direct
0.190 0.190 0.380
0.810 0.810 0.620
0.405 0.405 0.811
0.000 0.000 0.000
0.595 0.595 0.189
0.250 0.750 0.500
0.858 0.358 0.716
0.453 0.953 0.905
0.047 0.547 0.095
0.642 0.142 0.284
```

formation energy from raw total energies = -683.1 meV/atom
crystal system = tetragonal

---

(16)
Here is a crystal of Cd5Te4S relaxed with PBEsol from Alexandria. Energies are from meta-GGA SCAN.

Geometry as POSCAR:
```
Cd5Te4S
1.0
-4.149 1.655 -0.476
-3.387 -1.700 2.411
0.831 12.193 13.951
Cd Te S
5 4 1
Direct
0.005 0.005 0.985
0.395 0.395 0.815
0.798 0.798 0.607
0.200 0.200 0.400
0.603 0.603 0.192
0.446 0.446 0.662
0.848 0.848 0.455
0.251 0.251 0.247
0.653 0.653 0.040
0.051 0.051 0.847
```

formation energy from raw total energies = -511.7 meV/atom
crystal system = trigonal

---

(17)
Here is a crystal of TiTlCd2S relaxed with PBEsol from Alexandria. Energies are from meta-GGA SCAN.

Geometry as POSCAR:
```
TiTlCd2S
1.0
4.512 0.000 0.000
0.000 5.401 0.000
0.000 0.000 5.401
Tl Ti S Cd
1 1 1 2
Direct
0.500 0.500 0.500
0.000 0.000 0.000
0.500 0.000 0.000
0.000 0.000 0.500
0.000 0.500 0.000
```

formation energy from raw total energies = -16.0 meV/atom
density of states at the Fermi level = 0.637 states/eV per atom
crystal system = tetragonal

---

(18)
Here is a crystal of TlCdS3 relaxed with PBEsol from Alexandria. Energies are from meta-GGA SCAN.

Geometry as POSCAR:
```
TlCdS3
1.0
4.981 0.000 0.000
0.000 4.981 0.000
0.000 0.000 4.981
Tl S Cd
1 3 1
Direct
0.500 0.500 0.500
0.000 0.500 0.000
0.000 0.000 0.500
0.500 0.000 0.000
0.000 0.000 0.000
```

formation energy from raw total energies = 330.4 meV/atom
density of states at the Fermi level = 1.171 states/eV per atom
crystal system = cubic

---

(19)
Here is a crystal of CdW3S relaxed with PBEsol from Alexandria. Energies are from meta-GGA SCAN.

Geometry as POSCAR:
```
CdW3S
1.0
-0.660 4.743 0.495
-3.260 -0.084 -3.541
-3.480 -0.821 3.224
S W Cd
1 3 1
Direct
0.500 0.500 0.500
0.000 0.500 0.000
0.000 0.000 0.500
0.500 0.000 0.000
0.000 0.000 0.000
```

formation energy from raw total energies = 3626.3 meV/atom
density of states at the Fermi level = 1.516 states/eV per atom
crystal system = cubic

---

(20)
Here is a crystal of YCdW2S relaxed with PBEsol from Alexandria. Energies are from meta-GGA SCAN.

Geometry as POSCAR:
```
YCdW2S
1.0
4.816 0.000 0.000
0.000 4.816 0.000
0.000 0.000 5.331
Y S W Cd
1 1 2 1
Direct
0.000 0.000 0.000
0.500 0.500 0.500
0.000 0.500 0.000
0.500 0.000 0.000
0.000 0.000 0.500
```

formation energy from raw total energies = 2876.8 meV/atom
density of states at the Fermi level = 0.638 states/eV per atom
crystal system = tetragonal